1.
Material: Mn3GaH
Method: DFT, PBE-GGA
State: optimized geometry

```
Mn3GaH
1.0
5.4826 -1.2986 0.0000
5.4826 1.2986 0.0000
-1.4355 0.0000 7.5395
Mn Ga H
6 2 2
Cartesian
0.0406 0.0000 1.0512 Mn
0.3987 0.0000 5.3074 Mn
1.9385 0.0000 6.6670 Mn
7.5913 0.0000 0.8724 Mn
9.1311 0.0000 2.2321 Mn
9.4892 0.0000 6.4883 Mn
3.3185 0.0000 4.3823 Ga
6.2113 0.0000 3.1571 Ga
0.2053 0.0000 7.2209 H
9.3245 0.0000 0.3186 H
```

Results
The calculation puts the density of states at the Fermi level at 8.5 states/eV/cell. The calculation puts the energy at -65.23 eV per cell.

2.
Material: Mn3GaH
Method: DFT, PBE-GGA
State: optimized geometry

```
Mn3GaH
1.0
2.5486 -4.2254 0.0000
2.5486 4.2254 0.0000
0.0000 0.0000 4.7922
Mn Ga H
6 2 2
Cartesian
0.0000 0.0000 0.0000 Mn
0.0000 0.0000 2.3961 Mn
1.5487 1.8556 3.5941 Mn
3.5485 1.8556 3.5941 Mn
1.5487 -1.8556 1.1980 Mn
3.5485 -1.8556 1.1980 Mn
2.5486 0.5006 1.1980 Ga
2.5486 -0.5006 3.5941 Ga
2.5486 3.0831 1.1980 H
2.5486 -3.0831 3.5941 H
```

Results
The calculation puts the density of states at the Fermi level at 8.8 states/eV/cell. The calculation puts the energy at -65.32 eV per cell.

3.
Material: Mn3GaH
Method: DFT, PBE-GGA
State: optimized geometry

```
Mn3GaH
1.0
2.2277 1.2862 6.1950
-2.2277 1.2862 6.1950
0.0000 -2.5723 6.1950
Mn Ga H
6 2 2
Cartesian
-1.4178 -0.0279 8.3376 Mn
-0.6847 -1.2418 10.2475 Mn
0.7331 -1.2139 8.3376 Mn
-0.7331 1.2139 10.2475 Mn
0.6847 1.2418 8.3376 Mn
1.4178 0.0279 10.2475 Mn
0.0000 0.0000 6.1792 Ga
0.0000 0.0000 12.4059 Ga
0.0000 0.0000 3.0144 H
0.0000 0.0000 15.5707 H
```

Results
The calculation puts the density of states at the Fermi level at 5.7 states/eV/cell. The calculation puts the energy at -66.65 eV per cell.

4.
Material: Mn3GaH
Method: DFT, PBE-GGA
State: optimized geometry

```
Mn3GaH
1.0
6.7910 0.0000 0.0000
0.0000 4.6746 0.0000
-2.5220 0.0000 6.3277
Mn Ga H
12 4 4
Cartesian
-0.6405 0.4734 2.1534 Mn
-1.9015 1.8638 5.3172 Mn
-0.1523 2.5067 3.4277 Mn
1.1087 4.5051 0.2639 Mn
0.3980 0.6676 4.6995 Mn
1.6590 1.6697 1.5356 Mn
2.6101 3.0049 4.7920 Mn
3.8711 4.0070 1.6282 Mn
3.1604 0.1695 6.0638 Mn
4.4214 2.1678 2.8999 Mn
6.1706 2.8107 1.0105 Mn
4.9096 4.2011 4.1743 Mn
0.2494 3.1305 5.7075 Ga
1.5104 3.8814 2.5437 Ga
2.7587 0.7932 3.7839 Ga
4.0197 1.5441 0.6201 Ga
-1.1403 1.0564 3.8091 H
0.1207 1.2809 0.6453 H
4.1484 3.3936 5.6824 H
5.4094 3.6182 2.5186 H
```

Results
The calculation puts the density of states at the Fermi level at 10.3 states/eV/cell. The calculation puts the energy at -132.54 eV per cell.

5.
Material: MnGaH3
Method: DFT, PBE-GGA
State: optimized geometry

```
MnGaH3
1.0
3.4351 0.0000 0.0000
0.0000 3.4351 0.0000
0.0000 0.0000 3.4351
Mn Ga H
1 1 3
Cartesian
0.0000 0.0000 0.0000 Mn
1.7175 1.7175 1.7175 Ga
0.0000 0.0000 1.7175 H
0.0000 1.7175 0.0000 H
1.7175 0.0000 0.0000 H
```

Results
The calculation puts the density of states at the Fermi level at 2.2 states/eV/cell. The value obtained for the relative energy among the computed polymorphs is 0 meV per atom. The calculation puts the energy at -21.00 eV per cell.

6.
Material: MnGa2H
Method: DFT, PBE-GGA
State: optimized geometry

```
MnGa2H
1.0
6.0548 0.0000 0.0000
0.0000 6.0548 0.0000
0.0000 0.0000 6.0548
Mn Ga H
4 8 4
Cartesian
0.0000 0.0000 0.0000 Mn
0.0000 3.0274 3.0274 Mn
3.0274 0.0000 3.0274 Mn
3.0274 3.0274 0.0000 Mn
1.5137 1.5137 1.5137 Ga
1.5137 1.5137 4.5411 Ga
1.5137 4.5411 1.5137 Ga
1.5137 4.5411 4.5411 Ga
4.5411 1.5137 1.5137 Ga
4.5411 1.5137 4.5411 Ga
4.5411 4.5411 1.5137 Ga
4.5411 4.5411 4.5411 Ga
0.0000 0.0000 3.0274 H
0.0000 3.0274 0.0000 H
3.0274 0.0000 0.0000 H
3.0274 3.0274 3.0274 H
```

Results
The calculation puts the density of states at the Fermi level at 8.1 states/eV/cell. The value obtained for the relative energy among the computed polymorphs is 146 meV per atom. The calculation puts the energy at -66.47 eV per cell.